Entry 1:
# Mg2Ag2AsO6 PBE-GGA relaxed
data_Mg2Ag2AsO6
_chemical_formula_sum 'Mg2 Ag2 As1 O6'
_cell_length_a 5.2737
_cell_length_b 5.2737
_cell_length_c 5.9122
_cell_angle_alpha 90.29
_cell_angle_beta 90.29
_cell_angle_gamma 120.39
_space_group_name_H-M_alt 'P 1'
_space_group_IT_number 1
loop_
_space_group_symop_operation_xyz
'x,y,z'
loop_
_atom_site_label
_atom_site_fract_x
_atom_site_fract_y
_atom_site_fract_z
_atom_site_occupancy
Mg1 0.1631 0.8369 0.0000 1
Mg2 0.8369 0.1631 0.0000 1
Ag1 0.3431 0.6569 0.5000 1
Ag2 0.6569 0.3431 0.5000 1
As1 0.5000 0.5000 0.0000 1
O1 0.1952 0.5019 0.8264 1
O2 0.2106 0.2106 0.1684 1
O3 0.4981 0.8048 0.1736 1
O4 0.5019 0.1952 0.8264 1
O5 0.7894 0.7894 0.8316 1
O6 0.8048 0.4981 0.1736 1
# Total magnetic moment: 0.000 μB per atom
# Calculated volume: 142 Å³ per cell
# E_form (uncorrected): -1.400 eV per atom
# Symmetry: C2/m (12)
# Calculated total energy: -58.686 eV for the cell shown

Entry 2:
# MgAgAs2P PBE-GGA relaxed
data_MgAgAs2P
_chemical_formula_sum 'Mg1 Ag1 As2 P1'
_cell_length_a 4.8758
_cell_length_b 4.8758
_cell_length_c 4.7413
_cell_angle_alpha 90.00
_cell_angle_beta 90.00
_cell_angle_gamma 90.00
_space_group_name_H-M_alt 'P 1'
_space_group_IT_number 1
loop_
_space_group_symop_operation_xyz
'x,y,z'
loop_
_atom_site_label
_atom_site_fract_x
_atom_site_fract_y
_atom_site_fract_z
_atom_site_occupancy
Mg1 0.0000 0.0000 0.0000 1
Ag1 0.5000 0.5000 0.0000 1
As1 0.0000 0.5000 0.5000 1
As2 0.5000 0.0000 0.5000 1
P1 0.5000 0.5000 0.5000 1
# Total magnetic moment: 0.000 μB per atom
# DFT formation energy: 0.4429 eV/atom
# Calculated volume: 113 Å³ per cell
# Symmetry: P4/mmm (123)
# Calculated total energy: -16.940 eV for the cell shown